[1]
First-principles (PBE-GGA) data for a relaxed structure of GaCo2Ir2, as listed in Alexandria via LeMat-Bulk.

The calculation puts the volume at 14.15 Å³ per atom. The value obtained for the formation energy is 0.8 eV/f.u. The crystal system is tetragonal. The density of states at the Fermi level is 1.169 states/eV per atom. For the electronic total energy, the calculation gives -68.38 eV for the cell shown.

POSCAR file:
```
GaCo2Ir2
1.0
7.179 0.000 0.000
0.000 7.179 0.000
0.000 0.000 2.746
Co Ir Ga
4 4 2
direct
0.665 0.835 0.500
0.165 0.665 0.500
0.835 0.335 0.500
0.335 0.165 0.500
0.133 0.367 0.000
0.367 0.867 0.000
0.633 0.133 0.000
0.867 0.633 0.000
0.000 0.000 0.000
0.500 0.500 0.000
```

***

[2]
First-principles (PBE-GGA) data for a relaxed structure of Ga2CoIr, as listed in Alexandria via LeMat-Bulk.

The calculation puts the volume at 15.66 Å³ per atom. The value obtained for the formation energy is -0.2 eV/f.u. The crystal system is trigonal. The density of states at the Fermi level is 0.967 states/eV per atom. For the electronic total energy, the calculation gives -22.20 eV for the cell shown.

POSCAR file:
```
Ga2CoIr
1.0
-2.955 2.220 -1.358
-2.321 -1.358 -2.877
-4.617 -1.571 1.771
Ga Co Ir
2 1 1
direct
0.259 0.259 0.222
0.079 0.079 0.764
0.489 0.489 0.534
0.673 0.673 0.980
```

***

[3]
First-principles (PBE-GGA) data for a relaxed structure of Ga2CoIr2, as listed in Alexandria via LeMat-Bulk.

The calculation puts the volume at 14.89 Å³ per atom. The value obtained for the formation energy is -0.3 eV/f.u. The crystal system is tetragonal. The density of states at the Fermi level is 1.530 states/eV per atom. For the electronic total energy, the calculation gives -62.40 eV for the cell shown.

POSCAR file:
```
Ga2CoIr2
1.0
7.121 0.000 0.000
0.000 7.121 0.000
0.000 0.000 2.937
Ga Co Ir
4 2 4
direct
0.656 0.844 0.500
0.844 0.344 0.500
0.156 0.656 0.500
0.344 0.156 0.500
0.000 0.000 0.000
0.500 0.500 0.000
0.144 0.356 0.000
0.356 0.856 0.000
0.644 0.144 0.000
0.856 0.644 0.000
```

***

[4]
First-principles (PBE-GGA) data for a relaxed structure of GaCo2Ir, as listed in Alexandria via LeMat-Bulk.

The calculation puts the volume at 14.02 Å³ per atom. The value obtained for the formation energy is 1.2 eV/f.u. The crystal system is tetragonal. The density of states at the Fermi level is 1.262 states/eV per atom. For the electronic total energy, the calculation gives -49.89 eV for the cell shown.

POSCAR file:
```
GaCo2Ir
1.0
3.561 0.000 0.000
0.000 3.561 0.000
1.781 1.781 8.844
Ir Ga Co
2 2 4
direct
0.000 0.000 0.000
0.750 0.250 0.500
0.250 0.750 0.500
0.500 0.500 0.000
0.146 0.625 0.250
0.875 0.854 0.750
0.604 0.125 0.250
0.375 0.396 0.750
```

***

[5]
First-principles (PBE-GGA) data for a relaxed structure of Ga2CoIr, as listed in Alexandria via LeMat-Bulk.

The calculation puts the volume at 13.34 Å³ per atom. The value obtained for the formation energy is -1.2 eV/f.u. The crystal system is tetragonal. The density of states at the Fermi level is 0.363 states/eV per atom. For the electronic total energy, the calculation gives -23.24 eV for the cell shown.

POSCAR file:
```
Ga2CoIr
1.0
2.972 0.000 0.000
0.000 4.236 0.000
0.000 0.000 4.236
Ir Co Ga
1 1 2
direct
0.500 0.000 0.000
0.500 0.500 0.500
0.000 0.000 0.500
0.000 0.500 0.000
```

***

[6]
First-principles (PBE-GGA) data for a relaxed structure of Ga2CoIr, as listed in Alexandria via LeMat-Bulk.

The calculation puts the volume at 15.42 Å³ per atom. The value obtained for the formation energy is 1.4 eV/f.u. The crystal system is orthorhombic. The density of states at the Fermi level is 1.261 states/eV per atom. For the electronic total energy, the calculation gives -20.61 eV for the cell shown.

POSCAR file:
```
Ga2CoIr
1.0
4.667 -1.534 -2.723
-1.371 4.717 2.723
-3.273 0.091 4.563
Ga Co Ir
2 1 1
direct
0.000 0.755 0.755
0.000 0.245 0.245
0.000 0.000 0.000
0.000 0.500 0.500
```